This record from the Alexandria database describes Rb2NdCuBr6 at its PBEsol-relaxed geometry. The functional is SCAN.

Results
The value obtained for the density is 4.41 Mg/m³. For the raw formation energy, the calculation gives -16.51 eV/f.u. The space-group type is Fm-3m (225).

abc: 7.700 7.700 7.700
angles: 60.00 60.00 60.00
Sites, in units of the cell vectors:
Br (0.239, 0.761, 0.761)
Br (0.761, 0.239, 0.239)
Br (0.761, 0.239, 0.761)
Br (0.239, 0.239, 0.761)
Rb (0.250, 0.250, 0.250)
Cu (0.000, 0.000, 0.000)
Br (0.239, 0.761, 0.239)
Br (0.761, 0.761, 0.239)
Rb (0.750, 0.750, 0.750)
Nd (0.500, 0.500, 0.500)